VASP calculation (PBE-GGA) on an optimized crystal structure of Ti2Nb5Ga5.

Output
Magnetic moment   0.0 μB/f.u.
Energy relative to the elements   -2.75 eV per formula unit

a b c (Å): 12.7142 3.6121 9.4826
angles (deg): 90.00 111.84 90.00
Space group C2/m (No. 12)
Asymmetric unit:
1 Ti 0.0788 0.0000 0.2441
2 Nb 0.0000 0.5000 0.0000
3 Nb 0.0946 0.5000 0.7464
4 Nb 0.1662 0.5000 0.5065
5 Ga 0.0000 0.0000 0.5000
6 Ga 0.1669 0.0000 0.9968
7 Ga 0.2351 0.5000 0.2449